No. 1
Entry from Alexandria: a relaxed Er6CoSn crystal (PBE-GGA).

Geometry as POSCAR:
```
Er6CoSn
1.0
6.204 0.545 -0.042
-1.802 5.962 -0.042
-0.860 -1.272 6.013
Er Co Sn
6 1 1
direct
0.416 0.793 0.787
0.793 0.416 0.787
0.584 0.207 0.213
0.213 0.213 0.609
0.787 0.787 0.391
0.207 0.584 0.213
0.500 0.500 0.500
0.000 0.000 0.000
```

Values from the calculation:
**Size of the total moment**: 0.00 μB per formula unit

=====

No. 2
Entry from Alexandria: a relaxed ErCoSn4 crystal (PBE-GGA).

Geometry as POSCAR:
```
ErCoSn4
1.0
0.217 -4.692 3.087
-0.225 -2.911 -4.410
9.256 -0.416 -0.199
Sn Co Er
8 2 2
direct
0.046 0.500 0.802
0.085 0.000 0.641
0.415 0.500 0.359
0.915 0.000 0.359
0.546 0.000 0.802
0.585 0.500 0.641
0.454 0.000 0.198
0.954 0.500 0.198
0.000 0.500 0.500
0.500 0.000 0.500
0.000 0.000 0.000
0.500 0.500 0.000
```

Values from the calculation:
**Size of the total moment**: 0.00 μB per formula unit

=====

No. 3
Entry from Alexandria: a relaxed Er3Co8Sn crystal (PBE-GGA).

Geometry as POSCAR:
```
Er3Co8Sn
1.0
4.788 0.000 1.445
2.176 4.265 1.445
-0.012 -0.008 8.694
Co Er Sn
8 3 1
direct
0.439 0.938 0.685
0.438 0.438 0.189
0.188 0.188 0.436
0.688 0.688 0.936
0.936 0.438 0.189
0.938 0.439 0.685
0.938 0.938 0.685
0.438 0.936 0.189
0.997 0.997 0.008
0.502 0.502 0.494
0.375 0.375 0.874
0.874 0.874 0.379
```

Values from the calculation:
**Size of the total moment**: 8.56 μB per formula unit

=====

Number 1: DFT formation energy -123 meV per atom. Number 2: DFT formation energy -59 meV per atom. Number 3: DFT formation energy -208 meV per atom.